# 1
Below is crystalline Ce2DyCu6 at its relaxed geometry, with properties calculated at the PBE level.

Structure (POSCAR):
```
Ce2DyCu6
1.0
3.4288 0.0000 0.0000
0.0000 6.4994 -3.7524
0.0000 0.0000 7.5049
Ce Dy Cu
2 1 6
Direct
0.0000 0.3333 0.6667
0.0000 0.6667 0.3333
0.0000 0.0000 0.0000
0.5000 0.3322 0.3322
0.5000 0.6678 0.6678
0.5000 0.0000 0.6678
0.5000 0.6678 0.0000
0.5000 0.3322 0.0000
0.5000 0.0000 0.3322
```

Calculated values
Energy of formation ... -0.18 eV/atom
Electronic total energy ... -4.736 eV/atom
Mass density ... 8181 kg/m3
SG ... P6/mmm (191)



# 2
Below is crystalline CeDy2Cu at its relaxed geometry, with properties calculated at the PBE level.

Structure (POSCAR):
```
CeDy2Cu
1.0
-2.2046 2.5068 0.0320
-1.2993 1.0434 2.8928
6.9836 8.3383 2.0555
Cu Ce Dy
1 1 2
Direct
0.5000 0.5000 0.5000
0.0000 0.0000 0.0000
0.1009 0.1009 0.6974
0.8991 0.8991 0.3026
```

Calculated values
Energy of formation ... 0.22 eV/atom
Electronic total energy ... -4.588 eV/atom
Excess energy over the best structure of this formula in the dataset ... 282.0 meV per atom
Mass density ... 8344 kg/m3
SG ... R-3m (166)



# 3
Below is crystalline CeDy2Cu at its relaxed geometry, with properties calculated at the PBE level.

Structure (POSCAR):
```
CeDy2Cu
1.0
3.4875 0.0000 0.0000
0.0000 3.4875 0.0000
0.0000 0.0000 8.4584
Cu Ce Dy
1 1 2
Direct
0.5000 0.5000 0.0000
0.5000 0.5000 0.5000
0.0000 0.0000 0.7996
0.0000 0.0000 0.2004
```

Calculated values
Energy of formation ... -0.06 eV/atom
Electronic total energy ... -4.870 eV/atom
Excess energy over the best structure of this formula in the dataset ... 0.0 meV per atom
Mass density ... 8533 kg/m3
SG ... P4/mmm (123)



# 4
Below is crystalline CeDy2Cu6 at its relaxed geometry, with properties calculated at the PBE level.

Structure (POSCAR):
```
CeDy2Cu6
1.0
3.5444 0.0000 0.0000
0.0000 6.3938 -3.6915
0.0000 0.0000 7.3830
Ce Dy Cu
1 2 6
Direct
0.0000 0.0000 0.0000
0.0000 0.3333 0.6667
0.0000 0.6667 0.3333
0.5000 0.3347 0.3347
0.5000 0.6653 0.6653
0.5000 0.0000 0.6653
0.5000 0.6653 0.0000
0.5000 0.3347 0.0000
0.5000 0.0000 0.3347
```

Calculated values
Energy of formation ... -0.22 eV/atom
Electronic total energy ... -4.630 eV/atom
Mass density ... 8400 kg/m3
SG ... P6/mmm (191)



# 5
Below is crystalline CeDyCu at its relaxed geometry, with properties calculated at the PBE level.

Structure (POSCAR):
```
CeDyCu
1.0
3.4682 0.0000 0.0000
0.0000 3.4682 0.0000
-1.7341 -1.7341 6.1803
Ce Cu Dy
1 1 1
Direct
0.3120 0.3120 0.6240
0.6606 0.6606 0.3211
0.0274 0.0274 0.0548
```

Calculated values
Energy of formation ... -0.03 eV/atom
Electronic total energy ... -4.912 eV/atom
Excess energy over the best structure of this formula in the dataset ... 33.5 meV per atom
Mass density ... 8179 kg/m3
SG ... I4mm (107)



# 6
Below is crystalline CeDyCu at its relaxed geometry, with properties calculated at the PBE level.

Structure (POSCAR):
```
CeDyCu
1.0
3.5499 0.0000 0.0000
0.0000 4.7969 0.0000
0.0000 -2.3985 4.1543
Cu Ce Dy
1 1 1
Direct
0.9820 0.0000 0.0000
0.3060 0.3333 0.6667
0.7120 0.6667 0.3333
```

Calculated values
Energy of formation ... 0.13 eV/atom
Electronic total energy ... -4.749 eV/atom
Excess energy over the best structure of this formula in the dataset ... 196.3 meV per atom
Mass density ... 8595 kg/m3
SG ... P3m1 (156)



# 7
Below is crystalline Ce2DyCu at its relaxed geometry, with properties calculated at the PBE level.

Structure (POSCAR):
```
Ce2DyCu
1.0
3.6132 0.0000 0.0000
0.0000 3.6132 0.0000
0.0000 0.0000 8.0478
Cu Ce Dy
1 2 1
Direct
0.5000 0.5000 0.0000
0.0000 0.0000 0.8072
0.0000 0.0000 0.1928
0.5000 0.5000 0.5000
```

Calculated values
Energy of formation ... 0.06 eV/atom
Electronic total energy ... -5.084 eV/atom
Excess energy over the best structure of this formula in the dataset ... 0.0 meV per atom
Mass density ... 8002 kg/m3
SG ... P4/mmm (123)



# 8
Below is crystalline CeDyCu at its relaxed geometry, with properties calculated at the PBE level.

Structure (POSCAR):
```
CeDyCu
1.0
-2.1462 1.8058 -1.8419
1.5740 -2.2069 -3.9977
-4.9402 -7.0203 1.9303
Cu Dy Ce
2 2 2
Direct
0.4401 0.2500 0.8803
0.5599 0.7500 0.1197
0.9237 0.7500 0.8474
0.0763 0.2500 0.1526
0.7794 0.2500 0.5588
0.2206 0.7500 0.4412
```

Calculated values
Energy of formation ... -0.07 eV/atom
Electronic total energy ... -4.945 eV/atom
Excess energy over the best structure of this formula in the dataset ... 0.0 meV per atom
Mass density ... 8687 kg/m3
SG ... Cmcm (63)



# 9
Below is crystalline CeDyGaCu at its relaxed geometry, with properties calculated at the PBE level.

Structure (POSCAR):
```
CeDyGaCu
1.0
-1.3471 4.8667 0.0381
-4.8552 1.2716 0.5575
-1.5700 2.1518 4.2902
Cu Ga Ce Dy
1 1 1 1
Direct
0.7500 0.7500 0.7500
0.2500 0.2500 0.2500
0.5000 0.5000 0.5000
0.0000 0.0000 0.0000
```

Calculated values
Energy of formation ... -0.31 eV/atom
Electronic total energy ... -4.722 eV/atom
Mass density ... 7949 kg/m3
SG ... F-43m (216)



# 10
Below is crystalline CeDyCuHg at its relaxed geometry, with properties calculated at the PBE level.

Structure (POSCAR):
```
CeDyCuHg
1.0
-3.0038 4.2214 -0.0807
-4.2941 0.0692 -2.8992
-4.6585 -0.0914 2.2671
Cu Hg Ce Dy
1 1 1 1
Direct
0.2500 0.2500 0.2500
0.7500 0.7500 0.7500
0.0000 0.0000 0.0000
0.5000 0.5000 0.5000
```

Calculated values
Energy of formation ... -0.20 eV/atom
Electronic total energy ... -3.935 eV/atom
Mass density ... 9567 kg/m3
SG ... F-43m (216)



# 11
Below is crystalline CeDyMgCu at its relaxed geometry, with properties calculated at the PBE level.

Structure (POSCAR):
```
CeDyMgCu
1.0
5.1759 0.0000 0.0000
2.5879 4.4825 0.0000
2.5879 1.4942 4.2261
Mg Cu Ce Dy
1 1 1 1
Direct
0.7500 0.7500 0.7500
0.2500 0.2500 0.2500
0.5000 0.5000 0.5000
0.0000 0.0000 0.0000
```

Calculated values
Energy of formation ... 0.04 eV/atom
Electronic total energy ... -4.016 eV/atom
Mass density ... 6613 kg/m3
SG ... F-43m (216)



# 12
Below is crystalline CeDyCuNi at its relaxed geometry, with properties calculated at the PBE level.

Structure (POSCAR):
```
CeDyCuNi
1.0
4.8801 0.0000 0.0000
2.4400 4.2263 0.0000
2.4400 1.4088 3.9845
Ni Cu Ce Dy
1 1 1 1
Direct
0.7500 0.7500 0.7500
0.2500 0.2500 0.2500
0.5000 0.5000 0.5000
0.0000 0.0000 0.0000
```

Calculated values
Energy of formation ... -0.21 eV/atom
Electronic total energy ... -5.315 eV/atom
Mass density ... 8585 kg/m3
SG ... F-43m (216)



Q: mass density of number 3 (CeDy2Cu)?
A: 8533 kg/m3